Here is an optimized crystal structure of Ba2NbSb2 from the Alexandria database. Energies are from PBE-GGA.

Lattice parameters (Å, degrees): 7.811 7.811 5.423 90.00 90.00 90.00
Last column: magnetic moment on the atom in μB.
Fractional positions:
Sb 0.651 0.151 0.000  -0.06
Ba 0.166 0.666 0.500  0.00
Ba 0.666 0.834 0.500  0.00
Ba 0.334 0.166 0.500  0.00
Nb 0.000 0.000 0.000  1.39
Nb 0.500 0.500 0.000  1.39
Sb 0.151 0.349 0.000  -0.05
Sb 0.849 0.651 0.000  -0.05
Ba 0.834 0.334 0.500  0.00
Sb 0.349 0.849 0.000  -0.06

Calculated values
volume	33.1	A^3/atom
size of the total moment	1.62	μB per formula unit
DFT total energy	-4.771	eV per atom
formation energy without anion corrections	-0.34	eV per atom
energy relative to the lowest polymorph listed for this composition	0	meV/atom